[1]
RbAgP3 | PBE | relaxed

Properties
density of states at the Fermi level: 4.72 states/eV/cell
space-group type: Pm-3m
excess energy over the best structure of this formula in the dataset: 0.0 kJ per mole of atoms
ρ: 3.756 g/cm3
energy: -16.13 eV per cell
formation energy from the elements: 0.7838 eV/atom

abc: 5.021 5.021 5.021
angles: 90.00 90.00 90.00
Positions (direct):
P  0.000  0.500  0.000
Ag  0.000  0.000  0.000
P  0.000  0.000  0.500
P  0.500  0.000  0.000
Rb  0.500  0.500  0.500

[2]
NaGa2CoHg | PBE | relaxed

Properties
density of states at the Fermi level: 9.21 states/eV/cell
space-group type: P4/mmm
excess energy over the best structure of this formula in the dataset: 80.9 kJ per mole of atoms
ρ: 5.155 g/cm3
energy: -11.16 eV per cell
formation energy from the elements: 0.7249 eV/atom

abc: 5.174 5.174 5.078
angles: 90.00 90.00 90.00
Last column: magnetic moment on the atom in μB.
Positions (direct):
Ga  0.000  0.500  0.000  0.00
Ga  0.500  0.000  0.000  0.00
Na  0.500  0.500  0.500  -0.01
Hg  0.000  0.000  0.000  -0.02
Co  0.000  0.000  0.500  1.90

[3]
Li3H3Rh | PBE | relaxed

Properties
density of states at the Fermi level: 4.48 states/eV/cell
space-group type: C2/m
excess energy over the best structure of this formula in the dataset: 0.0 kJ per mole of atoms
ρ: 3.226 g/cm3
energy: -51.04 eV per cell

abc: 5.218 5.218 5.206
angles: 91.07 91.07 112.87
Positions (direct):
Li  0.365  0.365  0.658
H  0.475  0.198  0.335
Rh  0.787  0.787  0.858
Rh  0.213  0.213  0.142
Li  0.826  0.174  0.500
Li  0.174  0.826  0.500
Li  0.729  0.271  0.000
H  0.912  0.912  0.180
Li  0.271  0.729  0.000
H  0.088  0.088  0.820
Li  0.635  0.635  0.342
H  0.525  0.802  0.665
H  0.802  0.525  0.665
H  0.198  0.475  0.335

[4]
GaAs2WBr | PBE | relaxed

Properties
density of states at the Fermi level: 3.90 states/eV/cell
space-group type: P4/mmm
E_form (uncorrected): 1365 meV per atom
excess energy over the best structure of this formula in the dataset: 96.9 kJ per mole of atoms
ρ: 6.812 g/cm3
energy: -20.13 eV per cell

abc: 4.854 4.854 5.001
angles: 90.00 90.00 90.00
Last column: magnetic moment on the atom in μB.
Positions (direct):
As  0.000  0.500  0.000  -0.19
Br  0.000  0.000  0.500  -0.09
As  0.500  0.000  0.000  -0.19
Ga  0.000  0.000  0.000  0.01
W  0.500  0.500  0.500  2.82

[5]
Ac3AlCd2Hg6 | PBE | relaxed

Properties
density of states at the Fermi level: 8.41 states/eV/cell
space-group type: P-3m1
ρ: 10.182 g/cm3
energy: -22.68 eV per cell
formation energy from the elements: -0.2477 eV/atom

abc: 6.543 6.543 9.399
angles: 90.00 90.00 120.00
Positions (direct):
Hg  0.649  0.824  0.284
Ac  0.667  0.333  0.383
Hg  0.351  0.176  0.716
Ac  0.333  0.667  0.617
Al  0.000  0.000  0.500
Hg  0.176  0.824  0.284
Hg  0.824  0.176  0.716
Hg  0.176  0.351  0.284
Hg  0.824  0.649  0.716
Cd  0.667  0.333  0.999
Ac  0.000  0.000  0.000
Cd  0.333  0.667  0.001

[6]
NiSbTe2P | PBE | relaxed

Properties
density of states at the Fermi level: 4.85 states/eV/cell
space-group type: P4/mmm
E_form (uncorrected): 609 meV per atom
excess energy over the best structure of this formula in the dataset: 0.0 kJ per mole of atoms
ρ: 6.280 g/cm3
energy: -18.55 eV per cell

abc: 5.050 5.050 4.838
angles: 90.00 90.00 90.00
Positions (direct):
Ni  0.000  0.000  0.000
P  0.500  0.500  0.500
Sb  0.000  0.000  0.500
Te  0.500  0.000  0.000
Te  0.000  0.500  0.000